8
Lattice="-5.367 4.156 3.139 -4.525 -1.489 -5.765 -5.914 -0.934 0.033" Properties=species:S:1:pos:R:3 comment="Tl2FeW | Alexandria | PBE | optimized geometry" de_polymorph_mev_per_atom=923.1 formation_enthalpy_0k_mev_per_atom=1468 e_tot_ev_per_fu=-20.28 pbc="T T T"
Tl -5.248 2.062 1.162
Tl -5.128 -0.529 -3.115
Tl -8.272 0.258 -1.121
Tl -12.965 1.675 -2.112
Fe -4.946 1.333 -1.313
Fe -7.693 -0.545 -3.522
W 0.000 0.000 0.000
W -8.114 2.278 0.930

4
Lattice="3.009 0.003 0.000 -1.328 2.701 0.000 0.000 0.000 9.443" Properties=species:S:1:pos:R:3 comment="Tl2FeW | Alexandria | PBE | optimized geometry" de_polymorph_mev_per_atom=391.1 formation_enthalpy_0k_mev_per_atom=936 e_tot_ev_per_fu=-22.41 pbc="T T T"
Fe 0.841 1.352 7.082
Tl 0.000 0.000 9.335
Tl 0.000 0.000 4.828
W 0.841 1.352 2.361

4
Lattice="-4.733 -0.539 0.666 -2.943 -0.302 -3.792 -2.118 -4.183 -1.073" Properties=species:S:1:pos:R:3 comment="Tl2FeW | Alexandria | PBE | optimized geometry" de_polymorph_mev_per_atom=716.9 formation_enthalpy_0k_mev_per_atom=1261 e_tot_ev_per_fu=-21.10 pbc="T T T"
Fe -4.897 -2.512 -2.100
Tl 0.000 0.000 0.000
Tl -2.449 -1.256 -1.050
W -7.346 -3.768 -3.150

4
Lattice="-2.428 1.852 -0.198 -1.863 -2.420 0.206 -0.092 0.807 8.657" Properties=species:S:1:pos:R:3 comment="Tl2FeW | Alexandria | PBE | optimized geometry" de_polymorph_mev_per_atom=21.2 formation_enthalpy_0k_mev_per_atom=566 e_tot_ev_per_fu=-23.89 pbc="T T T"
Fe -2.210 0.279 6.044
Tl -0.087 0.766 8.219
Tl -2.172 -0.047 2.545
W -0.051 0.451 4.841

8
Lattice="7.390 0.000 0.000 0.000 7.390 0.000 3.695 3.695 2.601" Properties=species:S:1:pos:R:3 comment="TlFeW2 | Alexandria | PBE | optimized geometry" de_polymorph_mev_per_atom=422.3 formation_enthalpy_0k_mev_per_atom=1041 e_tot_ev_per_fu=-32.57 pbc="T T T"
Tl 0.000 0.000 0.000
Tl 7.390 3.695 1.300
Fe 3.695 3.695 0.000
Fe 3.695 7.390 1.300
W 5.016 1.847 0.650
W 2.374 5.542 0.650
W 5.542 6.069 1.951
W 9.237 8.710 1.951

4
Lattice="-2.450 -2.054 0.719 1.448 -0.730 2.847 -3.147 4.740 2.816" Properties=species:S:1:pos:R:3 comment="TlFeW2 | Alexandria | PBE | optimized geometry" de_polymorph_mev_per_atom=69.9 formation_enthalpy_0k_mev_per_atom=689 e_tot_ev_per_fu=-33.98 pbc="T T T"
Fe -1.288 -0.207 2.487
Tl -2.861 2.163 3.895
W -0.179 0.269 0.160
W -1.395 2.101 1.248